ZnAgPd5: optimized geometry, PBE.

The structure belongs to space group P4/mmm (No. 123); the cell edges are 4.033, 4.033 and 7.048 Å and the angles 90.00°, 90.00° and 90.00°. The distinct sites, in fractional coordinates, are Zn at (0.000, 0.000, 0.000), Ag at (0.500, 0.500, 0.500), Pd at (0.000, 0.000, 0.500) and Pd at (0.000, 0.500, 0.218).

=====

ZnAg3Pd: optimized geometry, PBE.

The structure belongs to space group Pm-3m (No. 221); the cell edges are 4.745, 4.745 and 4.745 Å and the angles 90.00°, 90.00° and 90.00°. The distinct sites, in fractional coordinates, are Zn at (0.000, 0.000, 0.000), Ag at (0.000, 0.000, 0.500) and Pd at (0.500, 0.500, 0.500).

=====

Looking at volume for the records above, in order, we have 16.37, 21.37 Å³ per atom.
Looking at ΔE to the lowest computed polymorph for the records above, in order, we have 19, 0 meV/atom.
Looking at energy of formation from the pure elements for the records above, in order, we have -61, 619 meV per atom.